Record 1
Entry from the Alexandria database: crystalline CrIrOs at its relaxed geometry (GGA-PBE).

## Properties
uncorrected energy: -10.043 eV/atom
crystal system: orthorhombic
space group: Cmcm, No. 63

```
data_CrIrOs
_space_group_name_H-M_alt 'P 1'
_space_group_IT_number 1
_space_group_name_Hall 'P 1'
_cell_length_a 2.709
_cell_length_b 4.270
_cell_length_c 7.167
_cell_angle_alpha 90.00
_cell_angle_beta 100.89
_cell_angle_gamma 90.00
loop_
_atom_site_label
_atom_site_type_symbol
_atom_site_fract_x
_atom_site_fract_y
_atom_site_fract_z
Cr1 Cr 0.111 0.250 0.222
Ir1 Ir 0.442 0.250 0.885
Ir2 Ir 0.558 0.750 0.115
Cr2 Cr 0.889 0.750 0.778
Os1 Os 0.778 0.250 0.557
Os2 Os 0.222 0.750 0.443
```


Record 2
Entry from the Alexandria database: crystalline K2LiMn at its relaxed geometry (GGA-PBE).

## Properties
uncorrected energy: -2.707 eV/atom
crystal system: orthorhombic
space group: Imm2, No. 44

```
data_K2LiMn
_space_group_name_H-M_alt 'P 1'
_space_group_IT_number 1
_space_group_name_Hall 'P 1'
_cell_length_a 7.407
_cell_length_b 7.407
_cell_length_c 7.407
_cell_angle_alpha 150.54
_cell_angle_beta 128.88
_cell_angle_gamma 60.11
loop_
_atom_site_label
_atom_site_type_symbol
_atom_site_fract_x
_atom_site_fract_y
_atom_site_fract_z
K1 K 0.732 0.232 0.500
K2 K 0.024 0.024 0.000
Li1 Li 0.453 0.453 0.000
Mn1 Mn 0.290 0.790 0.500
```


Record 3
Entry from the Alexandria database: crystalline TaVMo at its relaxed geometry (GGA-PBE).

## Properties
uncorrected energy: -10.689 eV/atom
crystal system: monoclinic
space group: P2_1/m, No. 11

```
data_TaVMo
_space_group_name_H-M_alt 'P 1'
_space_group_IT_number 1
_space_group_name_Hall 'P 1'
_cell_length_a 3.160
_cell_length_b 3.160
_cell_length_c 9.521
_cell_angle_alpha 90.02
_cell_angle_beta 90.20
_cell_angle_gamma 89.99
loop_
_atom_site_label
_atom_site_type_symbol
_atom_site_fract_x
_atom_site_fract_y
_atom_site_fract_z
Ta1 Ta 0.373 0.791 0.351
Mo1 Mo 0.874 0.291 0.522
V1 V 0.373 0.791 0.675
Mo2 Mo 0.371 0.791 0.990
V2 V 0.872 0.291 0.837
Ta2 Ta 0.871 0.291 0.161
```


Record 4
Entry from the Alexandria database: crystalline TlTcPt2 at its relaxed geometry (GGA-PBE).

## Properties
uncorrected energy: -6.025 eV/atom
crystal system: monoclinic
space group: Cm, No. 8

```
data_TlTcPt2
_space_group_name_H-M_alt 'P 1'
_space_group_IT_number 1
_space_group_name_Hall 'P 1'
_cell_length_a 4.791
_cell_length_b 4.791
_cell_length_c 5.318
_cell_angle_alpha 80.76
_cell_angle_beta 80.76
_cell_angle_gamma 35.03
loop_
_atom_site_label
_atom_site_type_symbol
_atom_site_fract_x
_atom_site_fract_y
_atom_site_fract_z
Pt1 Pt 0.755 0.755 0.728
Pt2 Pt 0.001 0.001 0.983
Tc1 Tc 0.497 0.497 0.547
Tl1 Tl 0.247 0.247 0.242
```


Magnetic moment / μB per formula unit: 0.000; 4.411; 0.000; 0.000
Energy above the most stable polymorph in this dataset / meV/atom: 0; 78; 0; 89